No. 1
# Pb2AuS

Crystalline Pb2AuS at its relaxed geometry (PBE-GGA, Alexandria via LeMat-Bulk).

Final energy in eV/atom: -3.7862
Space group: I-42d
Total magnetization in μB/f.u.: 0.0
Calculated density in g/cm3: 7.81
Crystal system: tetragonal
Formation energy from raw total energies in eV/atom: -0.08

a b c (Å): 6.705 6.705 7.718
angles (deg): 64.25 64.25 90.00
Sites, in units of the cell vectors:
Pb1 0.621 0.125 0.250
Pb2 0.129 0.625 0.250
Pb3 0.375 0.379 0.750
Pb4 0.875 0.871 0.750
S1 0.500 0.500 0.000
S2 0.250 0.750 0.500
Au1 0.000 0.000 0.000
Au2 0.750 0.250 0.500

---

No. 2
# PbAuS2

Crystalline PbAuS2 at its relaxed geometry (PBE-GGA, Alexandria via LeMat-Bulk).

Final energy in eV/atom: -3.6557
Space group: R-3m
Total magnetization in μB/f.u.: 0.0
Calculated density in g/cm3: 7.77
Crystal system: trigonal
Formation energy from raw total energies in eV/atom: 0.15

a b c (Å): 8.759 8.759 8.759
angles (deg): 24.31 24.31 24.31
Sites, in units of the cell vectors:
Pb1 0.000 0.000 0.000
S1 0.886 0.886 0.886
S2 0.114 0.114 0.114
Au1 0.500 0.500 0.500

---

No. 3
# PbAuS3

Crystalline PbAuS3 at its relaxed geometry (PBE-GGA, Alexandria via LeMat-Bulk).

Final energy in eV/atom: -3.6070
Space group: Pm-3m
ΔE to the lowest computed polymorph in meV per atom: 0
Total magnetization in μB/f.u.: 0.0
Calculated density in g/cm3: 7.14
Crystal system: cubic
Formation energy from raw total energies in eV/atom: 0.27

a b c (Å): 4.882 4.882 4.882
angles (deg): 90.00 90.00 90.00
Sites, in units of the cell vectors:
Pb1 0.500 0.500 0.500
S1 0.000 0.500 0.000
S2 0.000 0.000 0.500
S3 0.500 0.000 0.000
Au1 0.000 0.000 0.000

---

No. 4
# PbAuS

Crystalline PbAuS at its relaxed geometry (PBE-GGA, Alexandria via LeMat-Bulk).

Final energy in eV/atom: -3.8136
Space group: P3m1
ΔE to the lowest computed polymorph in meV per atom: 0
Total magnetization in μB/f.u.: 0.0
Calculated density in g/cm3: 10.31
Crystal system: trigonal
Formation energy from raw total energies in eV/atom: -0.11

a b c (Å): 4.859 4.085 4.085
angles (deg): 120.00 90.00 90.00
Sites, in units of the cell vectors:
Pb1 0.684 0.667 0.333
S1 0.275 0.333 0.667
Au1 0.041 0.000 0.000

---

No. 5
# Pb3AuS

Crystalline Pb3AuS at its relaxed geometry (PBE-GGA, Alexandria via LeMat-Bulk).

Final energy in eV/atom: -3.3350
Space group: Pm-3m
ΔE to the lowest computed polymorph in meV per atom: 84
Total magnetization in μB/f.u.: 0.0
Calculated density in g/cm3: 8.39
Crystal system: cubic
Formation energy from raw total energies in eV/atom: 0.37

a b c (Å): 5.522 5.522 5.522
angles (deg): 90.00 90.00 90.00
Sites, in units of the cell vectors:
Pb1 0.000 0.500 0.000
Pb2 0.000 0.000 0.500
Pb3 0.500 0.000 0.000
S1 0.500 0.500 0.500
Au1 0.000 0.000 0.000

---

No. 6
# Sc4PbAuS

Crystalline Sc4PbAuS at its relaxed geometry (PBE-GGA, Alexandria via LeMat-Bulk).

Final energy in eV/atom: -5.9756
Space group: Cmcm
Total magnetization in μB/f.u.: 0.0
Calculated density in g/cm3: 6.29
Crystal system: orthorhombic
Formation energy from raw total energies in eV/atom: -0.77

a b c (Å): 6.681 6.743 7.960
angles (deg): 90.00 114.82 90.00
Sites, in units of the cell vectors:
Sc1 0.941 0.250 0.881
Sc2 0.412 0.750 0.824
Sc3 0.059 0.750 0.119
Sc4 0.588 0.250 0.176
Sc5 0.500 0.500 0.500
Sc6 0.000 0.000 0.500
Sc7 0.500 0.000 0.500
Sc8 0.000 0.500 0.500
Pb1 0.612 0.750 0.223
Pb2 0.388 0.250 0.777
Au1 0.128 0.250 0.256
Au2 0.872 0.750 0.744
S1 0.236 0.750 0.472
S2 0.764 0.250 0.528

---

No. 7
# SnPb2AuS4

Crystalline SnPb2AuS4 at its relaxed geometry (PBE-GGA, Alexandria via LeMat-Bulk).

Final energy in eV/atom: -4.1809
Space group: Pmn2_1
Total magnetization in μB/f.u.: 0.0
Calculated density in g/cm3: 5.99
Crystal system: orthorhombic
Formation energy from raw total energies in eV/atom: -0.28

a b c (Å): 6.095 9.395 8.311
angles (deg): 90.00 90.00 90.00
Sites, in units of the cell vectors:
Sn1 0.496 0.867 0.500
Sn2 0.996 0.133 0.000
Pb1 0.450 0.328 0.253
Pb2 0.450 0.328 0.747
Pb3 0.950 0.672 0.753
Pb4 0.950 0.672 0.247
Au1 0.941 0.311 0.500
Au2 0.441 0.689 0.000
S1 0.416 0.137 0.000
S2 0.916 0.863 0.500
S3 0.401 0.130 0.500
S4 0.901 0.870 0.000
S5 0.423 0.667 0.721
S6 0.923 0.333 0.221
S7 0.923 0.333 0.779
S8 0.423 0.667 0.279

---

No. 8
# TlPbAuS2

Crystalline TlPbAuS2 at its relaxed geometry (PBE-GGA, Alexandria via LeMat-Bulk).

Final energy in eV/atom: -3.8271
Space group: P2/c
Total magnetization in μB/f.u.: 0.0
Calculated density in g/cm3: 7.34
Crystal system: monoclinic
Formation energy from raw total energies in eV/atom: -0.31

a b c (Å): 5.585 7.112 8.038
angles (deg): 107.47 90.00 90.00
Sites, in units of the cell vectors:
Tl1 0.143 0.500 0.750
Tl2 0.857 0.500 0.250
Pb1 0.443 0.000 0.250
Pb2 0.557 0.000 0.750
Au1 0.000 0.000 0.000
Au2 0.000 0.000 0.500
S1 0.722 0.748 0.982
S2 0.722 0.252 0.518
S3 0.278 0.748 0.482
S4 0.278 0.252 0.018